1.
DFT (PBE) results for an optimized crystal structure of KNpAgI6.

SG = P-31c, No. 163
Total DFT energy (no corrections) = -66.7 eV/cell
Total magnetization = 0.333 μB per atom

a = 7.7905 Å, b = 7.7905 Å, c = 15.8092 Å
α = 90.00°, β = 90.00°, γ = 120.00°
Site moments in Bohr magnetons follow the coordinates.
Sites, in units of the cell vectors:
1 I 0.0064 0.6412 0.8611  -0.05
2 I 0.9936 0.6348 0.3611  -0.05
3 I 0.6412 0.0064 0.3611  -0.05
4 I 0.6412 0.6348 0.1389  -0.05
5 I 0.9936 0.3588 0.1389  -0.05
6 I 0.3652 0.3588 0.3611  -0.05
7 I 0.6348 0.6412 0.6389  -0.05
8 I 0.3588 0.9936 0.6389  -0.05
9 I 0.3588 0.3652 0.8611  -0.05
10 I 0.6348 0.9936 0.8611  -0.05
11 I 0.3652 0.0064 0.1389  -0.05
12 I 0.0064 0.3652 0.6389  -0.05
13 Ag 0.6667 0.3333 0.7500  -0.01
14 Ag 0.3333 0.6667 0.2500  -0.01
15 K 0.0000 0.0000 0.0000  0.00
16 K 0.0000 0.0000 0.5000  0.00
17 Np 0.3333 0.6667 0.7500  3.39
18 Np 0.6667 0.3333 0.2500  3.39

2.
DFT (PBE) results for an optimized crystal structure of KNpAgI5.

SG = C2/c, No. 15
Total DFT energy (no corrections) = -62.8 eV/cell
Total magnetization = 0.500 μB per atom

a = 8.5201 Å, b = 8.5201 Å, c = 11.5087 Å
α = 103.63°, β = 103.63°, γ = 106.74°
Site moments in Bohr magnetons follow the coordinates.
Sites, in units of the cell vectors:
1 K 0.6361 0.3639 0.7500  0.00
2 K 0.3639 0.6361 0.2500  0.00
3 I 0.9075 0.0925 0.7500  -0.03
4 I 0.3774 0.2466 0.0510  -0.02
5 I 0.6226 0.7534 0.9490  -0.02
6 I 0.0925 0.9075 0.2500  -0.03
7 I 0.2466 0.3774 0.5510  -0.02
8 I 0.0692 0.6675 0.8844  -0.02
9 I 0.9308 0.3325 0.1156  -0.02
10 I 0.3325 0.9308 0.6156  -0.02
11 I 0.6675 0.0692 0.3844  -0.02
12 I 0.7534 0.6226 0.4490  -0.02
13 Ag 0.6901 0.3099 0.2500  -0.01
14 Ag 0.3099 0.6901 0.7500  -0.01
15 Np 0.0000 0.0000 0.0000  4.01
16 Np 0.0000 0.0000 0.5000  4.01

3.
DFT (PBE) results for an optimized crystal structure of KNp2AgI8.

SG = P-1, No. 2
Total DFT energy (no corrections) = -52.0 eV/cell
Total magnetization = 0.667 μB per atom

a = 7.8028 Å, b = 7.4980 Å, c = 9.4069 Å
α = 89.93°, β = 90.23°, γ = 83.63°
Site moments in Bohr magnetons follow the coordinates.
Sites, in units of the cell vectors:
1 Np 0.4990 0.5032 0.7579  4.02
2 Np 0.5010 0.4968 0.2421  4.02
3 I 0.6344 0.7185 0.4986  -0.04
4 I 0.1577 0.7391 0.2282  -0.03
5 I 0.8423 0.2454 0.2151  -0.03
6 I 0.3656 0.2815 0.5014  -0.04
7 I 0.8423 0.2609 0.7718  -0.03
8 I 0.3601 0.2690 0.9976  -0.04
9 I 0.6399 0.7310 0.0024  -0.04
10 I 0.1577 0.7546 0.7849  -0.03
11 Ag 0.0000 0.0000 0.0000  -0.01
12 K 0.0000 0.0000 0.5000  0.00

4.
DFT (PBE) results for an optimized crystal structure of KAgI2O.

SG = P4/mmm, No. 123
Offset from the most stable computed form = 0 meV/atom
Total DFT energy (no corrections) = -14.0 eV/cell
Total magnetization = 0.183 μB per atom

a = 5.9603 Å, b = 5.9603 Å, c = 4.1788 Å
α = 90.00°, β = 90.00°, γ = 90.00°
Site moments in Bohr magnetons follow the coordinates.
Sites, in units of the cell vectors:
1 K 0.5000 0.5000 0.5000  0.00
2 Ag 0.0000 0.0000 0.0000  0.12
3 O 0.0000 0.0000 0.5000  0.57
4 I 0.0000 0.5000 0.0000  0.04
5 I 0.5000 0.0000 0.0000  0.04

5.
DFT (PBE) results for an optimized crystal structure of KAgI2O.

SG = P4/mmm, No. 123
Offset from the most stable computed form = 675 meV/atom
Total DFT energy (no corrections) = -10.6 eV/cell
Total magnetization = 0.408 μB per atom

a = 6.4802 Å, b = 6.4802 Å, c = 5.0179 Å
α = 90.00°, β = 90.00°, γ = 90.00°
Site moments in Bohr magnetons follow the coordinates.
Sites, in units of the cell vectors:
1 O 0.0000 0.0000 0.5000  1.21
2 K 0.0000 0.0000 0.0000  0.00
3 Ag 0.5000 0.5000 0.5000  0.00
4 I 0.0000 0.5000 0.0000  0.16
5 I 0.5000 0.0000 0.0000  0.16

6.
DFT (PBE) results for an optimized crystal structure of K3Ag2IO6.

SG = C2/m, No. 12
Total DFT energy (no corrections) = -49.8 eV/cell
Total magnetization = 0.000 μB per atom

a = 6.2109 Å, b = 6.2109 Å, c = 6.1400 Å
α = 97.92°, β = 97.92°, γ = 121.57°
Sites, in units of the cell vectors:
1 K 0.1814 0.8186 0.5000
2 K 0.8186 0.1814 0.5000
3 K 0.5000 0.5000 0.5000
4 O 0.6719 0.9273 0.8244
5 O 0.1763 0.1763 0.7850
6 O 0.3281 0.0727 0.1756
7 O 0.0727 0.3281 0.1756
8 O 0.8237 0.8237 0.2150
9 O 0.9273 0.6719 0.8244
10 Ag 0.6592 0.3408 0.0000
11 Ag 0.3408 0.6592 0.0000
12 I 0.0000 0.0000 0.0000

7.
DFT (PBE) results for an optimized crystal structure of K2AgIO4.

SG = I-4, No. 82
Total DFT energy (no corrections) = -32.2 eV/cell
Total magnetization = 0.000 μB per atom

a = 6.1181 Å, b = 6.1181 Å, c = 6.1181 Å
α = 91.50°, β = 119.14°, γ = 119.14°
Sites, in units of the cell vectors:
1 O 0.3873 0.8313 0.7917
2 O 0.6127 0.4044 0.4439
3 O 0.0395 0.2083 0.5956
4 O 0.9605 0.5561 0.1687
5 K 0.0000 0.0000 0.0000
6 K 0.5000 0.7500 0.2500
7 Ag 0.5000 0.2500 0.7500
8 I 0.0000 0.5000 0.5000

8.
DFT (PBE) results for an optimized crystal structure of K5AgIO2.

SG = P4/mmm, No. 123
Total DFT energy (no corrections) = -28.5 eV/cell
Total magnetization = 0.080 μB per atom

a = 5.4885 Å, b = 5.4885 Å, c = 9.4694 Å
α = 90.00°, β = 90.00°, γ = 90.00°
Sites, in units of the cell vectors:
1 K 0.5000 0.0000 0.2118
2 K 0.0000 0.5000 0.2118
3 K 0.0000 0.5000 0.7882
4 K 0.0000 0.0000 0.5000
5 K 0.5000 0.0000 0.7882
6 O 0.0000 0.0000 0.7779
7 O 0.0000 0.0000 0.2221
8 I 0.5000 0.5000 0.5000
9 Ag 0.0000 0.0000 0.0000

9.
DFT (PBE) results for an optimized crystal structure of K2AgIO6.

SG = Fm-3m, No. 225
Total DFT energy (no corrections) = -42.5 eV/cell
Total magnetization = 0.197 μB per atom

a = 6.0095 Å, b = 6.0095 Å, c = 6.0095 Å
α = 60.00°, β = 60.00°, γ = 60.00°
Site moments in Bohr magnetons follow the coordinates.
Sites, in units of the cell vectors:
1 Ag 0.5000 0.5000 0.5000  0.25
2 O 0.2238 0.7762 0.7762  0.25
3 O 0.7762 0.2238 0.7762  0.25
4 O 0.2238 0.7762 0.2238  0.25
5 O 0.7762 0.2238 0.2238  0.25
6 O 0.2238 0.2238 0.7762  0.25
7 O 0.7762 0.7762 0.2238  0.25
8 K 0.2500 0.2500 0.2500  0.00
9 K 0.7500 0.7500 0.7500  0.00
10 I 0.0000 0.0000 0.0000  -0.03

10.
DFT (PBE) results for an optimized crystal structure of KAgI2O.

SG = P4/mmm, No. 123
Offset from the most stable computed form = 1081 meV/atom
Total DFT energy (no corrections) = -8.6 eV/cell
Total magnetization = 0.407 μB per atom

a = 6.4520 Å, b = 6.5624 Å, c = 6.4520 Å
α = 90.00°, β = 90.00°, γ = 90.00°
Site moments in Bohr magnetons follow the coordinates.
Sites, in units of the cell vectors:
1 O 0.5000 0.5000 0.5000  -1.38
2 I 0.0000 0.0000 0.5000  -0.14
3 I 0.5000 0.0000 0.0000  -0.14
4 Ag 0.0000 0.5000 0.0000  0.06
5 K 0.0000 0.0000 0.0000  0.00

11.
DFT (PBE) results for an optimized crystal structure of KAgOs2I.

SG = P4/mmm, No. 123
Total DFT energy (no corrections) = -12.8 eV/cell
Total magnetization = 0.918 μB per atom

a = 4.8877 Å, b = 6.0698 Å, c = 4.8877 Å
α = 90.00°, β = 90.00°, γ = 90.00°
Site moments in Bohr magnetons follow the coordinates.
Sites, in units of the cell vectors:
1 Os 0.0000 0.0000 0.5000  1.87
2 Os 0.5000 0.0000 0.0000  2.19
3 I 0.0000 0.5000 0.0000  0.09
4 Ag 0.5000 0.5000 0.5000  -0.02
5 K 0.0000 0.0000 0.0000  0.03

12.
DFT (PBE) results for an optimized crystal structure of K2AgPI6.

SG = R3, No. 146
Total DFT energy (no corrections) = -25.9 eV/cell
Total magnetization = 0.000 μB per atom

a = 8.3930 Å, b = 8.3919 Å, c = 8.5238 Å
α = 60.50°, β = 60.50°, γ = 60.00°
Sites, in units of the cell vectors:
1 P 0.3186 0.3187 0.0440
2 I 0.0281 0.5496 0.2408
3 I 0.4722 0.6637 0.7523
4 I 0.5496 0.1815 0.2407
5 I 0.6637 0.1117 0.7525
6 I 0.1117 0.4722 0.7525
7 I 0.1815 0.0280 0.2408
8 Ag 0.7488 0.7489 0.7533
9 K 0.5462 0.5460 0.3617
10 K 0.0411 0.0412 0.8766

13.
DFT (PBE) results for an optimized crystal structure of KAgPb2I6.

SG = R3, No. 146
Total DFT energy (no corrections) = -27.5 eV/cell
Total magnetization = 0.000 μB per atom

a = 8.2108 Å, b = 8.2104 Å, c = 8.8057 Å
α = 62.19°, β = 62.17°, γ = 59.98°
Sites, in units of the cell vectors:
1 I 0.7201 0.1374 0.7594
2 I 0.1372 0.3834 0.7585
3 I 0.2450 0.9329 0.2380
4 I 0.3830 0.7213 0.7582
5 I 0.9337 0.5833 0.2380
6 I 0.5839 0.2451 0.2380
7 K 0.8135 0.8138 0.5592
8 Pb 0.0070 0.0068 0.9795
9 Pb 0.5156 0.5154 0.4536
10 Ag 0.3225 0.3223 0.0328

14.
DFT (PBE) results for an optimized crystal structure of K2Ag2PbI6.

SG = C2/m, No. 12
Total DFT energy (no corrections) = -29.3 eV/cell
Total magnetization = 0.000 μB per atom

a = 8.7969 Å, b = 8.6825 Å, c = 8.5261 Å
α = 115.22°, β = 90.00°, γ = 120.44°
Sites, in units of the cell vectors:
1 I 0.7370 0.4741 0.5902
2 I 0.1805 0.8578 0.1756
3 I 0.3227 0.1422 0.8244
4 I 0.8195 0.1422 0.8244
5 I 0.6773 0.8578 0.1756
6 I 0.2630 0.5259 0.4098
7 K 0.2599 0.5198 0.8155
8 K 0.7401 0.4802 0.1845
9 Pb 0.5000 0.0000 0.5000
10 Ag 0.0512 0.1025 0.2039
11 Ag 0.9488 0.8975 0.7961

15.
DFT (PBE) results for an optimized crystal structure of K3Ag3PbI8.

SG = C2/m, No. 12
Total DFT energy (no corrections) = -39.4 eV/cell
Total magnetization = 0.000 μB per atom

a = 9.1128 Å, b = 9.2363 Å, c = 9.6037 Å
α = 118.70°, β = 90.00°, γ = 119.56°
Sites, in units of the cell vectors:
1 I 0.2442 0.4885 0.7139
2 I 0.7491 0.0227 0.2805
3 I 0.7558 0.5115 0.2861
4 I 0.2735 0.0227 0.2805
5 I 0.2615 0.5229 0.2950
6 I 0.7385 0.4771 0.7050
7 I 0.2509 0.9773 0.7195
8 I 0.7265 0.9773 0.7195
9 Ag 0.5000 0.5000 0.5000
10 Ag 0.5000 0.0000 0.5000
11 Ag 0.0000 0.5000 0.5000
12 K 0.5000 0.5000 0.0000
13 K 0.0000 0.5000 0.0000
14 K 0.0000 0.0000 0.0000
15 Pb 0.0000 0.0000 0.5000

16.
DFT (PBE) results for an optimized crystal structure of K2AgPbI6.

SG = P2_1/c, No. 14
Total DFT energy (no corrections) = -51.8 eV/cell
Total magnetization = 0.000 μB per atom

a = 8.2110 Å, b = 8.6042 Å, c = 11.7393 Å
α = 90.00°, β = 90.19°, γ = 90.00°
Sites, in units of the cell vectors:
1 K 0.9705 0.0842 0.7522
2 K 0.4705 0.4158 0.2522
3 K 0.0295 0.9158 0.2478
4 K 0.5295 0.5842 0.7478
5 I 0.6877 0.2959 0.5518
6 I 0.8123 0.7959 0.9482
7 I 0.7016 0.3096 0.9519
8 I 0.1877 0.2041 0.0518
9 I 0.2016 0.1904 0.4519
10 I 0.8972 0.5177 0.2403
11 I 0.7984 0.8096 0.5481
12 I 0.2984 0.6904 0.0481
13 I 0.3972 0.9823 0.7403
14 I 0.1028 0.4823 0.7597
15 I 0.3123 0.7041 0.4482
16 I 0.6028 0.0177 0.2597
17 Pb 0.0000 0.5000 0.5000
18 Pb 0.5000 0.0000 0.0000
19 Ag 0.0000 0.5000 0.0000
20 Ag 0.5000 0.0000 0.5000

17.
DFT (PBE) results for an optimized crystal structure of K2AgPdI6.

SG = P2_1/c, No. 14
Total DFT energy (no corrections) = -52.5 eV/cell
Total magnetization = 0.000 μB per atom

a = 7.8685 Å, b = 8.1152 Å, c = 11.4880 Å
α = 90.00°, β = 89.04°, γ = 90.00°
Sites, in units of the cell vectors:
1 I 0.2834 0.6919 0.0356
2 I 0.5666 0.9877 0.2643
3 I 0.2166 0.1919 0.4644
4 I 0.4334 0.0123 0.7357
5 I 0.7039 0.2976 0.5257
6 I 0.7166 0.3081 0.9644
7 I 0.9334 0.4877 0.2357
8 I 0.7834 0.8081 0.5356
9 I 0.2039 0.2024 0.0257
10 I 0.0666 0.5123 0.7643
11 I 0.7961 0.7976 0.9743
12 I 0.2961 0.7024 0.4743
13 K 0.9765 0.0730 0.7489
14 K 0.4765 0.4270 0.2489
15 K 0.0235 0.9270 0.2511
16 K 0.5235 0.5730 0.7511
17 Ag 0.0000 0.5000 0.5000
18 Ag 0.5000 0.0000 0.0000
19 Pd 0.5000 0.0000 0.5000
20 Pd 0.0000 0.5000 0.0000

18.
DFT (PBE) results for an optimized crystal structure of KPmAgI5.

SG = C2/c, No. 15
Total DFT energy (no corrections) = -50.8 eV/cell
Total magnetization = 0.000 μB per atom

a = 8.5194 Å, b = 8.5194 Å, c = 11.5758 Å
α = 102.92°, β = 102.92°, γ = 107.84°
Sites, in units of the cell vectors:
1 I 0.6191 0.7534 0.9471
2 I 0.2466 0.3809 0.5529
3 I 0.7534 0.6191 0.4471
4 I 0.3809 0.2466 0.0529
5 I 0.0894 0.9106 0.2500
6 I 0.6719 0.0687 0.3843
7 I 0.9313 0.3281 0.1157
8 I 0.9106 0.0894 0.7500
9 I 0.0687 0.6719 0.8843
10 I 0.3281 0.9313 0.6157
11 Ag 0.3107 0.6893 0.7500
12 Ag 0.6893 0.3107 0.2500
13 Pm 0.0000 0.0000 0.0000
14 Pm 0.0000 0.0000 0.5000
15 K 0.6352 0.3648 0.7500
16 K 0.3648 0.6352 0.2500

19.
DFT (PBE) results for an optimized crystal structure of K2PmAgI6.

SG = P2_1/c, No. 14
Total DFT energy (no corrections) = -62.0 eV/cell
Total magnetization = 0.000 μB per atom

a = 8.2084 Å, b = 8.7024 Å, c = 11.6679 Å
α = 90.00°, β = 89.62°, γ = 90.00°
Sites, in units of the cell vectors:
1 K 0.9686 0.0888 0.7469
2 K 0.0314 0.9112 0.2531
3 K 0.5314 0.5888 0.7531
4 K 0.4686 0.4112 0.2469
5 I 0.6876 0.3037 0.5525
6 I 0.8087 0.8074 0.5550
7 I 0.3087 0.6926 0.0550
8 I 0.8894 0.5233 0.2558
9 I 0.3124 0.6963 0.4475
10 I 0.8124 0.8037 0.9475
11 I 0.6913 0.3074 0.9450
12 I 0.1106 0.4767 0.7442
13 I 0.3894 0.9767 0.7558
14 I 0.6106 0.0233 0.2442
15 I 0.1913 0.1926 0.4450
16 I 0.1876 0.1963 0.0525
17 Ag 0.5000 0.0000 0.0000
18 Ag 0.0000 0.5000 0.5000
19 Pm 0.0000 0.5000 0.0000
20 Pm 0.5000 0.0000 0.5000

20.
DFT (PBE) results for an optimized crystal structure of K2PrAgI6.

SG = Fm-3m, No. 225
Offset from the most stable computed form = 63 meV/atom
Total DFT energy (no corrections) = -30.4 eV/cell
Total magnetization = 0.000 μB per atom

a = 8.6792 Å, b = 8.6792 Å, c = 8.6792 Å
α = 60.00°, β = 60.00°, γ = 60.00°
Sites, in units of the cell vectors:
1 Ag 0.0000 0.0000 0.0000
2 I 0.2460 0.7540 0.7540
3 I 0.2460 0.7540 0.2460
4 I 0.7540 0.7540 0.2460
5 I 0.7540 0.2460 0.7540
6 I 0.7540 0.2460 0.2460
7 I 0.2460 0.2460 0.7540
8 K 0.2500 0.2500 0.2500
9 K 0.7500 0.7500 0.7500
10 Pr 0.5000 0.5000 0.5000

Formation energy from raw total energies, record by record: -0.79; -0.84; -0.82; -0.39; 0.28; -0.79; -0.72; -0.97; -0.61; 0.69; 3.04; -0.61; -0.69; -0.76; -0.77; -0.78; -0.67; -1.12; -1.19; -1.13 eV/atom